(1)
KNa2SrSn: optimized geometry, PBE.

Output
Formation energy from the elements (kJ/mol of formula units): -31
Electronic total energy (eV/atom): -1.949

a b c (Å): 6.1693 6.1693 6.4565
angles (deg): 90.00 90.00 90.00
Closest atoms and distances in Å follow each position.
Space group P4/mmm (No. 123)
Symmetry-distinct sites (fractional):
K1 0.0000 0.0000 0.0000  4 Sr 4.36, 8 Na 4.47
Na1 0.0000 0.5000 0.5000  2 Sn 3.08
Sr1 0.5000 0.5000 0.0000  2 Sn 3.23
Sn1 0.5000 0.5000 0.5000  4 Na 3.08, 2 Sr 3.23

***

(2)
TbPr2Dy4Sc: optimized geometry, PBE.

Output
Formation energy from the elements (kJ/mol of formula units): 28
Electronic total energy (eV/atom): -4.830

a b c (Å): 5.0331 5.0331 10.0253
angles (deg): 90.00 90.00 90.00
Closest atoms and distances in Å follow each position.
Space group P4/mmm (No. 123)
Symmetry-distinct sites (fractional):
Tb1 0.0000 0.0000 0.0000  4 Pr 3.56, 8 Dy 3.58
Pr1 0.0000 0.0000 0.5000  8 Dy 3.52, 4 Sc 3.56
Pr2 0.5000 0.5000 0.0000  4 Tb 3.56, 8 Dy 3.58
Dy1 0.0000 0.5000 0.2545  4 Pr 3.52-3.58, 2 Sc 3.52, 4 Dy 3.56, 2 Tb 3.58
Sc1 0.5000 0.5000 0.5000  8 Dy 3.52, 4 Pr 3.56

***

(3)
DyCuF4: optimized geometry, PBE.

Output
E_form (uncorrected) (kJ/mol of formula units): -1728
Electronic total energy (eV/atom): -5.683

a b c (Å): 6.6339 3.8764 6.9933
angles (deg): 90.00 105.24 90.00
Closest atoms and distances in Å follow each position.
Space group P2_1/c (No. 14)
Symmetry-distinct sites (fractional):
Dy1 0.0000 0.0000 0.0000  8 F 2.22-2.37
Cu1 0.5000 0.0000 0.5000  2 F 1.89
F1 0.0722 0.0184 0.6855  3 Dy 2.25-2.37, 2 F 2.44
F2 0.3355 0.6342 0.5572  1 Cu 1.89

***

(4)
MgTl2SiO4: optimized geometry, PBE.

Output
E_form (uncorrected) (kJ/mol of formula units): -1388
Electronic total energy (eV/atom): -5.745

a b c (Å): 5.0861 11.3634 21.0342
angles (deg): 90.00 90.00 90.00
Closest atoms and distances in Å follow each position.
Space group Fddd (No. 70, origin choice 2)
Symmetry-distinct sites (fractional):
Mg1 0.1250 0.1250 0.1250  4 O 1.97
Tl1 0.1250 0.1250 0.3061  4 O 2.96-3.04
Si1 0.1250 0.1250 0.6250  4 O 1.67
O1 0.0819 0.2890 0.8349  1 Si 1.67

***

(5)
Ca2LaBi2: optimized geometry, PBE.

Output
Formation energy from the elements (kJ/mol of formula units): -297
E above lowest polymorph (kJ/mol of atoms): 13.2
Electronic total energy (eV/atom): -3.954

a b c (Å): 4.7696 4.7696 15.0370
angles (deg): 90.00 90.00 90.00
Closest atoms and distances in Å follow each position.
Space group I4/mmm (No. 139)
Symmetry-distinct sites (fractional):
Ca1 0.0000 0.5000 0.2500  4 Bi 3.20, 4 Ca 3.37
La1 0.0000 0.0000 0.0000  8 Bi 3.74
Bi1 0.0000 0.0000 0.3923  4 Ca 3.20, 1 Bi 3.24

***

(6)
MgScTeN2: optimized geometry, PBE.

Output
E_form (uncorrected) (kJ/mol of formula units): 341
E above lowest polymorph (kJ/mol of atoms): 36.8
Electronic total energy (eV/atom): -4.837

a b c (Å): 4.1083 4.1083 5.5640
angles (deg): 90.00 90.00 90.00
Closest atoms and distances in Å follow each position.
Space group P4/mmm (No. 123)
Symmetry-distinct sites (fractional):
Mg1 0.0000 0.0000 0.0000  4 N 2.05
Sc1 0.5000 0.5000 0.5000  4 Te 2.91
Te1 0.0000 0.0000 0.5000  2 Mg 2.78, 4 Sc 2.91
N1 0.0000 0.5000 0.0000  2 Mg 2.05

***

(7)
CaPmTh2P4: optimized geometry, PBE.

Output
Formation energy from the elements (kJ/mol of formula units): -1153
Electronic total energy (eV/atom): -6.898

a b c (Å): 7.1465 4.1590 7.2027
angles (deg): 90.00 109.61 90.00
Closest atoms and distances in Å follow each position.
Space group P2/m (No. 10)
Symmetry-distinct sites (fractional):
Ca1 0.0000 0.0000 0.0000  6 P 2.95-2.96
Pm1 0.0000 0.5000 0.5000  6 P 2.94-2.95
Th1 0.5000 0.0000 0.5000  6 P 2.90-2.91
Th2 0.5000 0.5000 0.0000  6 P 2.91-2.92
P1 0.2534 0.0000 0.7502  3 Th 2.91-2.92, 2 Pm 2.94, 1 Ca 2.95
P2 0.2568 0.5000 0.2536  3 Th 2.90-2.91, 1 Pm 2.95, 2 Ca 2.96

***

(8)
MoIr2Se: optimized geometry, PBE.

Output
E_form (uncorrected) (kJ/mol of formula units): 136
Electronic total energy (eV/atom): -7.656

a b c (Å): 6.2773 6.2773 6.2773
angles (deg): 90.00 90.00 90.00
Closest atoms and distances in Å follow each position.
Space group F-43m (No. 216)
Symmetry-distinct sites (fractional):
Mo1 0.0000 0.0000 0.0000  4 Se 2.72, 4 Ir 2.72
Ir1 0.0000 0.0000 0.5000  4 Se 2.72, 4 Ir 2.72
Ir2 0.2500 0.2500 0.2500  4 Mo 2.72, 4 Ir 2.72
Se1 0.2500 0.2500 0.7500  4 Mo 2.72, 4 Ir 2.72

***

(9)
VCuAu2: optimized geometry, PBE.

Output
Formation energy from the elements (kJ/mol of formula units): 145
Electronic total energy (eV/atom): -4.568

a b c (Å): 7.1914 7.1914 5.4530
angles (deg): 90.00 90.00 90.00
Closest atoms and distances in Å follow each position.
Space group I-42d (No. 122)
Symmetry-distinct sites (fractional):
V1 0.0000 0.0000 0.0000  4 Au 2.70, 2 Cu 2.73
Cu1 0.0000 0.0000 0.5000  4 Au 2.56, 2 V 2.73
Au1 0.2356 0.2500 0.6250  2 Cu 2.56, 2 V 2.70, 2 Au 2.73

***

(10)
KInAg4: optimized geometry, PBE.

Output
Formation energy from the elements (kJ/mol of formula units): 20
E above lowest polymorph (kJ/mol of atoms): 0.0
Electronic total energy (eV/atom): -2.506

a b c (Å): 8.1520 8.1520 8.1520
angles (deg): 90.00 90.00 90.00
Closest atoms and distances in Å follow each position.
Space group F-43m (No. 216)
Symmetry-distinct sites (fractional):
K1 0.0000 0.0000 0.0000  12 Ag 3.38, 4 In 3.53
In1 0.2500 0.2500 0.2500  12 Ag 3.38, 4 K 3.53
Ag1 0.1245 0.1245 0.6245  6 Ag 2.87-2.89

***

(11)
ZrPbAu2: optimized geometry, PBE.

Output
Formation energy from the elements (kJ/mol of formula units): -78
Electronic total energy (eV/atom): -4.904

a b c (Å): 3.6288 3.6288 25.4615
angles (deg): 90.00 90.00 120.00
Closest atoms and distances in Å follow each position.
Space group R-3m (No. 166, hexagonal axes)
Symmetry-distinct sites (fractional):
Zr1 0.0000 0.0000 0.0000  6 Au 2.80
Pb1 0.0000 0.0000 0.5000  6 Au 3.17
Au1 0.0000 0.0000 0.2601  3 Zr 2.80

***

(12)
LiCa2Tl: optimized geometry, PBE.

Output
Formation energy from the elements (kJ/mol of formula units): -97
E above lowest polymorph (kJ/mol of atoms): 4.0
Electronic total energy (eV/atom): -2.321

a b c (Å): 5.4393 5.4393 3.9508
angles (deg): 90.00 90.00 90.00
Closest atoms and distances in Å follow each position.
Space group P4/mmm (No. 123)
Symmetry-distinct sites (fractional):
Li1 0.0000 0.0000 0.0000  8 Ca 3.36
Ca1 0.0000 0.5000 0.5000  4 Tl 3.36, 4 Li 3.36
Tl1 0.5000 0.5000 0.0000  8 Ca 3.36

***

(13)
Rb2PrZn2Te4: optimized geometry, PBE.

Output
E_form (uncorrected) (kJ/mol of formula units): -761
Electronic total energy (eV/atom): -3.301

a b c (Å): 16.7826 4.7614 8.6088
angles (deg): 90.00 109.25 90.00
Closest atoms and distances in Å follow each position.
Space group C2/m (No. 12)
Symmetry-distinct sites (fractional):
Rb1 0.1320 0.0000 0.0622  7 Te 3.78-3.96, 1 Zn 4.11, 1 Rb 4.20
Pr1 0.0000 0.0000 0.5000  6 Te 3.24-3.25
Zn1 0.1741 0.5000 0.4954  4 Te 2.73-2.84
Te1 0.0182 0.5000 0.2592  1 Zn 2.73
Te2 0.2041 0.0000 0.6680  3 Zn 2.76-2.84

***

(14)
Ca2Sm5Er4: optimized geometry, PBE.

Output
Formation energy from the elements (kJ/mol of formula units): 226
Electronic total energy (eV/atom): -3.955

a b c (Å): 12.4049 6.9971 10.6026
angles (deg): 90.00 124.89 90.00
Closest atoms and distances in Å follow each position.
Space group C2/m (No. 12)
Symmetry-distinct sites (fractional):
Ca1 0.0840 0.0000 0.2896  4 Er 3.38-3.68, 4 Sm 3.48-3.69
Sm1 0.0000 0.5000 0.0000  4 Er 3.33-3.47
Sm2 0.1634 0.2271 0.6696  1 Sm 3.18, 3 Er 3.35-3.44, 1 Ca 3.48
Er1 0.0799 0.5000 0.3584  7 Sm 3.33-3.72, 3 Ca 3.58-3.68, 1 Er 3.72
Er2 0.2310 0.0000 0.0213  5 Sm 3.35-3.68, 1 Ca 3.38, 3 Er 3.59-3.72

***

(15)
Ca2Zn3Au5: optimized geometry, PBE.

Output
Formation energy from the elements (kJ/mol of formula units): -481
E above lowest polymorph (kJ/mol of atoms): 0.0
Electronic total energy (eV/atom): -2.919

a b c (Å): 4.4139 25.1762 7.0970
angles (deg): 90.00 90.00 90.00
Closest atoms and distances in Å follow each position.
Space group Cmc2_1 (No. 36)
Symmetry-distinct sites (fractional):
Ca1 0.0000 0.0255 0.0000  5 Zn 3.06-3.17, 8 Au 3.15-3.26
Ca2 0.0000 0.3237 0.9368  8 Au 3.02-3.32, 1 Zn 3.28
Zn1 0.0000 0.1264 0.7590  6 Au 2.60-2.91
Zn2 0.0000 0.2828 0.3759  7 Au 2.58-2.87
Zn3 0.0000 0.4550 0.7984  5 Au 2.62-2.72
Au1 0.0000 0.0954 0.3855  3 Zn 2.62-2.76
Au2 0.0000 0.1942 0.1211  4 Zn 2.87-3.09, 5 Au 2.99-3.12, 2 Ca 3.18
Au3 0.0000 0.2273 0.6806  4 Zn 2.58-2.62
Au4 0.0000 0.3818 0.5170  4 Zn 2.69-2.88, 1 Au 2.88
Au5 0.0000 0.4452 0.1785  4 Zn 2.65-2.91, 1 Au 2.88

***

(16)
Hg3Pd3PtO8: optimized geometry, PBE.

Output
E_form (uncorrected) (kJ/mol of formula units): -517
Electronic total energy (eV/atom): -4.503

a b c (Å): 12.1865 6.3941 7.9254
angles (deg): 90.00 130.40 90.00
Closest atoms and distances in Å follow each position.
Space group C2/m (No. 12)
Symmetry-distinct sites (fractional):
Hg1 0.0000 0.0000 0.0000  2 O 2.06
Hg2 0.2500 0.2500 0.5000  2 O 2.11
Pd1 0.0000 0.5000 0.5000  4 O 2.07
Pd2 0.2500 0.2500 0.0000  4 O 2.04-2.05
Pt1 0.0000 0.0000 0.5000  6 O 2.02-2.07
O1 0.0448 0.2498 0.7022  2 Pd 2.04-2.07, 1 Pt 2.07
O2 0.2059 0.0000 0.1085  2 Pd 2.05, 1 Hg 2.06
O3 0.2061 0.0000 0.6221  1 Pt 2.02, 2 Hg 2.11